Here is a relaxed structure of Sc2Pd2Au from Alexandria via LeMat-Bulk. Energies are from GGA-PBE.

POSCAR file:
```
Sc2Pd2Au
1.0
4.877 -2.666 0.000
4.877 2.666 0.000
-2.847 0.000 7.020
Sc Pd Au
4 4 2
Direct
0.017 0.313 0.148
0.313 0.017 0.648
0.687 0.983 0.352
0.983 0.687 0.852
0.243 0.515 0.524
0.485 0.757 0.976
0.515 0.243 0.024
0.757 0.485 0.476
0.209 0.791 0.250
0.791 0.209 0.750
```

Results
Crystal system ... monoclinic
Energy of formation from the pure elements ... -0.805 eV per atom
Total magnetization ... 0.000 μB/f.u.
E above lowest polymorph ... 0.021 eV per atom

Here is a relaxed structure of ScPd6Au5 from Alexandria via LeMat-Bulk. Energies are from GGA-PBE.

POSCAR file:
```
ScPd6Au5
1.0
-2.086 3.905 6.152
2.086 -3.905 6.152
2.086 3.905 -6.152
Sc Pd Au
1 6 5
Direct
0.000 0.000 0.000
0.083 0.835 0.248
0.247 0.500 0.747
0.413 0.165 0.248
0.587 0.835 0.752
0.753 0.500 0.253
0.917 0.165 0.752
0.165 0.665 0.500
0.333 0.333 0.000
0.500 0.000 0.500
0.667 0.667 0.000
0.835 0.335 0.500
```

Results
Crystal system ... orthorhombic
Energy of formation from the pure elements ... -0.354 eV per atom
Total magnetization ... 0.000 μB/f.u.

Here is a relaxed structure of Sc5PdAu4 from Alexandria via LeMat-Bulk. Energies are from GGA-PBE.

POSCAR file:
```
Sc5PdAu4
1.0
3.394 0.000 0.000
0.000 3.394 0.000
0.000 0.000 16.837
Sc Pd Au
5 1 4
Direct
0.000 0.000 0.000
0.000 0.000 0.202
0.000 0.000 0.404
0.000 0.000 0.596
0.000 0.000 0.798
0.500 0.500 0.500
0.500 0.500 0.101
0.500 0.500 0.304
0.500 0.500 0.696
0.500 0.500 0.899
```

Results
Crystal system ... tetragonal
Energy of formation from the pure elements ... -0.825 eV per atom
Total magnetization ... 0.000 μB/f.u.